Record 1
The following is a PBE-GGA calculation of a geometry-optimized TiNb2Mo2W2 structure, from Alexandria.

Summary:
volume	237.3	Å³/cell
symmetry	C2/m (12)
total magnetic moment	1.03	Bohr magnetons per cell
E	-10.519	eV/atom

a = 14.442 Å, b = 2.636 Å, c = 7.134 Å
α = 90.00°, β = 119.11°, γ = 90.00°
Fractional positions:
Ti1 0.000 0.000 0.000
Ti2 0.500 0.500 0.000
Nb1 0.073 0.000 0.424
Nb2 0.427 0.500 0.576
Nb3 0.573 0.500 0.424
Nb4 0.927 0.000 0.576
Mo1 0.143 0.500 0.851
Mo2 0.357 0.000 0.149
Mo3 0.643 0.000 0.851
Mo4 0.857 0.500 0.149
W1 0.210 0.500 0.275
W2 0.290 0.000 0.725
W3 0.710 0.000 0.275
W4 0.790 0.500 0.725

***

Record 2
The following is a PBE-GGA calculation of a geometry-optimized CaMnMoN2 structure, from Alexandria.

Summary:
volume	72.8	Å³/cell
symmetry	P4/mmm (123)
total magnetic moment	2.79	Bohr magnetons per cell
E	-6.187	eV/atom
uncorrected formation energy	1.5436	eV per atom

a = 3.812 Å, b = 3.812 Å, c = 5.010 Å
α = 90.00°, β = 90.00°, γ = 90.00°
Fractional positions:
Ca1 0.000 0.000 0.000
Mn1 0.000 0.000 0.500
Mo1 0.500 0.500 0.000
N1 0.000 0.500 0.500
N2 0.500 0.000 0.500

***

Please write out number 2 again, unchanged.
The following is a PBE-GGA calculation of a geometry-optimized CaMnMoN2 structure, from Alexandria.

Summary:
volume	72.8	Å³/cell
symmetry	P4/mmm (123)
total magnetic moment	2.79	Bohr magnetons per cell
E	-6.187	eV/atom
uncorrected formation energy	1.5436	eV per atom

a = 3.812 Å, b = 3.812 Å, c = 5.010 Å
α = 90.00°, β = 90.00°, γ = 90.00°
Fractional positions:
Ca1 0.000 0.000 0.000
Mn1 0.000 0.000 0.500
Mo1 0.500 0.500 0.000
N1 0.000 0.500 0.500
N2 0.500 0.000 0.500